Computed, not measured: a relaxed Ta2Te5Pd3 crystal at the PBE level of DFT.

Geometry as POSCAR:
```
Ta2Te5Pd3
1.0
14.266 0.000 0.000
0.000 3.723 0.000
0.000 0.000 18.792
Ta Te Pd
8 20 12
direct
0.243 0.250 0.168 Ta
0.249 0.250 0.917 Ta
0.251 0.750 0.417 Ta
0.257 0.750 0.668 Ta
0.743 0.250 0.332 Ta
0.749 0.250 0.583 Ta
0.751 0.750 0.083 Ta
0.757 0.750 0.832 Ta
0.102 0.250 0.441 Te
0.106 0.750 0.219 Te
0.107 0.250 0.646 Te
0.113 0.750 0.862 Te
0.135 0.250 0.041 Te
0.365 0.750 0.541 Te
0.387 0.250 0.362 Te
0.393 0.750 0.146 Te
0.394 0.250 0.719 Te
0.398 0.750 0.941 Te
0.602 0.250 0.059 Te
0.606 0.750 0.281 Te
0.607 0.250 0.854 Te
0.613 0.750 0.638 Te
0.635 0.250 0.459 Te
0.865 0.750 0.959 Te
0.887 0.250 0.138 Te
0.893 0.750 0.354 Te
0.894 0.250 0.781 Te
0.898 0.750 0.559 Te
0.180 0.250 0.311 Pd
0.192 0.250 0.773 Pd
0.231 0.250 0.542 Pd
0.269 0.750 0.042 Pd
0.308 0.750 0.273 Pd
0.320 0.750 0.811 Pd
0.680 0.250 0.189 Pd
0.692 0.250 0.727 Pd
0.731 0.250 0.958 Pd
0.769 0.750 0.458 Pd
0.808 0.750 0.227 Pd
0.820 0.750 0.689 Pd
```

Properties
**ρ**: 8.8 Mg/m³
**E_tot**: -59.1 eV per formula unit